The following is a GGA+U calculation of MoS2ClO8 after structural relaxation, from Alexandria via LeMat-Bulk.

```
12
Lattice="4.259 -2.648 0.000 4.259 2.648 0.000 -3.345 0.000 8.949" Properties=species:S:1:pos:R:3 pbc="T T T"
Mo 0.000 0.000 0.000
S 3.011 0.000 1.613
S 2.161 0.000 7.336
Cl -1.672 0.000 4.475
O 1.236 1.197 7.548
O 2.047 0.000 0.463
O 3.937 1.197 1.401
O 2.431 0.000 2.911
O 2.742 0.000 6.038
O 1.236 -1.197 7.548
O 3.126 0.000 8.486
O 3.937 -1.197 1.401
```

Summary:
* final energy: -70.4 eV per formula unit
* space-group type: C2/m, No. 12
* total magnetization: 3.00 μB per cell